AcTl5Se5: optimized geometry, PBE.

Cell lengths 7.901, 7.901, 9.201 Å; angles 106.56, 106.56, 45.13 degrees
Sites, in units of the cell vectors:
Ac (0.000, 0.000, 0.000)
Tl (0.000, 0.000, 0.500)
Tl (0.318, 0.318, 0.145)
Tl (0.323, 0.323, 0.678)
Tl (0.677, 0.677, 0.322)
Tl (0.682, 0.682, 0.855)
Se (0.160, 0.160, 0.322)
Se (0.161, 0.161, 0.835)
Se (0.500, 0.500, 0.000)
Se (0.839, 0.839, 0.165)
Se (0.840, 0.840, 0.678)

Properties
Formation energy (no corrections): -7.32 eV per formula unit
DFT total energy: -3.70 eV/atom
Symmetry: C2/m, No. 12

KTl2In: optimized geometry, PBE.

Cell lengths 3.465, 5.121, 7.641 Å; angles 90.00, 102.69, 90.00 degrees
Sites, in units of the cell vectors:
K (0.000, 0.000, 0.000)
Tl (0.101, 0.000, 0.505)
Tl (0.611, 0.500, 0.295)
In (0.389, 0.500, 0.718)

Properties
Energy of formation: -0.057 eV per atom
DFT total energy: -2.20 eV/atom
Symmetry: Pm, No. 6

Ca3CeIr8: optimized geometry, PBE.

Cell lengths 9.313, 9.313, 9.313 Å; angles 33.56, 33.56, 33.56 degrees
Sites, in units of the cell vectors:
Ca (0.000, 0.000, 0.000)
Ca (0.123, 0.123, 0.123)
Ca (0.496, 0.496, 0.496)
Ce (0.623, 0.623, 0.623)
Ir (0.058, 0.560, 0.560)
Ir (0.060, 0.060, 0.563)
Ir (0.060, 0.563, 0.060)
Ir (0.311, 0.311, 0.311)
Ir (0.560, 0.058, 0.560)
Ir (0.560, 0.560, 0.058)
Ir (0.563, 0.060, 0.060)
Ir (0.810, 0.810, 0.810)

Properties
Energy of formation: -0.557 eV per atom
DFT total energy: -7.46 eV/atom
Symmetry: R3m, No. 160

LiCoIr2: optimized geometry, PBE.

Cell lengths 4.553, 4.553, 4.650 Å; angles 99.66, 99.66, 34.10 degrees
Sites, in units of the cell vectors:
Li (0.000, 0.000, 0.000)
Co (0.500, 0.500, 0.500)
Ir (0.240, 0.240, 0.748)
Ir (0.760, 0.760, 0.252)

Properties
Offset from the most stable computed form: 0.0 meV per atom
Energy of formation: -0.034 eV per atom
DFT total energy: -6.72 eV/atom
Symmetry: C2/m, No. 12

PuHf2NiN4: optimized geometry, PBE.

Cell lengths 5.620, 5.620, 11.034 Å; angles 90.00, 90.00, 146.77 degrees
Sites, in units of the cell vectors:
Pu (0.109, 0.891, 0.750)
Pu (0.891, 0.109, 0.250)
Hf (0.368, 0.632, 0.556)
Hf (0.368, 0.632, 0.944)
Hf (0.632, 0.368, 0.056)
Hf (0.632, 0.368, 0.444)
Ni (0.158, 0.842, 0.250)
Ni (0.842, 0.158, 0.750)
N (0.000, 0.000, 0.000)
N (0.000, 0.000, 0.500)
N (0.270, 0.730, 0.113)
N (0.270, 0.730, 0.387)
N (0.455, 0.545, 0.750)
N (0.545, 0.455, 0.250)
N (0.730, 0.270, 0.613)
N (0.730, 0.270, 0.887)

Properties
Formation energy (no corrections): -10.43 eV per formula unit
DFT total energy: -10.47 eV/atom
Symmetry: Cmcm, No. 63

BaAcSbO: optimized geometry, PBE.

Cell lengths 5.028, 5.028, 9.887 Å; angles 90.00, 90.00, 90.00 degrees
Sites, in units of the cell vectors:
Ba (0.250, 0.750, 0.000)
Ba (0.750, 0.250, 0.000)
Ac (0.250, 0.250, 0.336)
Ac (0.750, 0.750, 0.664)
Sb (0.250, 0.250, 0.696)
Sb (0.750, 0.750, 0.304)
O (0.250, 0.250, 0.103)
O (0.750, 0.750, 0.897)

Properties
Formation energy (no corrections): -7.86 eV per formula unit
DFT total energy: -5.74 eV/atom
Symmetry: P4/nmm, No. 129